## TbPm4Tm4 (PBE-GGA)

Data for TbPm4Tm4 after structural relaxation.

Values from the calculation:
**DOS at the Fermi energy**: 1.677 states/eV per atom
**Raw total energy**: -4.507 eV/atom
**Density**: 8042 kg/m³
**Formation energy**: 92 kJ/mol of formula units
**Energy relative to the lowest polymorph listed for this composition**: 84 meV per atom
**Space group**: No. 12
**V**: 32.5 Å³/atom

Unit cell a=8.8962 b=8.8962 c=6.7562 alpha=112.27 beta=112.27 gamma=36.57
Element x y z (fractional)
Tb 0.0000 0.0000 0.0000
Pm 0.2204 0.2204 0.1545
Pm 0.3659 0.3659 0.6917
Pm 0.6341 0.6341 0.3083
Pm 0.7796 0.7796 0.8455
Tm 0.1222 0.1222 0.5742
Tm 0.4293 0.4293 0.2335
Tm 0.5707 0.5707 0.7665
Tm 0.8778 0.8778 0.4258



## ScSi2Rh (PBE-GGA)

Data for ScSi2Rh after structural relaxation.

Values from the calculation:
**DOS at the Fermi energy**: 0.417 states/eV per atom
**Raw total energy**: -6.609 eV/atom
**Formation energy (no corrections)**: -1.91 eV/f.u.
**Density**: 5535 kg/m³
**Space group**: No. 225
**V**: 15.3 Å³/atom

Unit cell a=4.4237 b=4.4237 c=4.4237 alpha=60.00 beta=60.00 gamma=60.00
Element x y z (fractional)
Sc 0.0000 0.0000 0.0000
Si 0.2500 0.2500 0.2500
Si 0.7500 0.7500 0.7500
Rh 0.5000 0.5000 0.5000



## Si4Ag (PBE-GGA)

Data for Si4Ag after structural relaxation.

Values from the calculation:
**DOS at the Fermi energy**: 0.318 states/eV per atom
**Raw total energy**: -4.394 eV/atom
**Formation energy (no corrections)**: 2.57 eV/f.u.
**Density**: 4532 kg/m³
**Energy relative to the lowest polymorph listed for this composition**: 143 meV per atom
**Space group**: No. 87
**V**: 16.1 Å³/atom

Unit cell a=4.7939 b=4.7939 c=4.7939 alpha=102.76 beta=102.76 gamma=123.93
Element x y z (fractional)
Si 0.0512 0.7048 0.7561
Si 0.2952 0.0512 0.3464
Si 0.7048 0.9488 0.6536
Si 0.9488 0.2952 0.2439
Ag 0.5000 0.5000 0.0000



## Er3PtRh (PBE-GGA)

Data for Er3PtRh after structural relaxation.

Values from the calculation:
**DOS at the Fermi energy**: 0.478 states/eV per atom
**Raw total energy**: -6.299 eV/atom
**Density**: 10987 kg/m³
**Formation energy**: -426 kJ/mol of formula units
**Energy relative to the lowest polymorph listed for this composition**: 60 meV per atom
**Space group**: No. 59
**V**: 24.2 Å³/atom

Unit cell a=4.0217 b=6.9012 c=8.7101 alpha=90.00 beta=90.00 gamma=90.00
Element x y z (fractional)
Er 0.2500 0.0116 0.1690
Er 0.2500 0.2500 0.5577
Er 0.2500 0.4884 0.1690
Er 0.7500 0.5116 0.8310
Er 0.7500 0.7500 0.4423
Er 0.7500 0.9884 0.8310
Pt 0.2500 0.7500 0.6629
Pt 0.7500 0.2500 0.3371
Rh 0.2500 0.2500 0.8948
Rh 0.7500 0.7500 0.1052



## CsNpAlS4 (PBE-GGA)

Data for CsNpAlS4 after structural relaxation.

Values from the calculation:
**DOS at the Fermi energy**: 1.106 states/eV per atom
**Raw total energy**: -6.114 eV/atom
**Formation energy (no corrections)**: -8.75 eV/f.u.
**Density**: 4421 kg/m³
**Space group**: No. 11
**V**: 28.2 Å³/atom

Unit cell a=6.4966 b=6.7189 c=9.5656 alpha=90.00 beta=109.13 gamma=90.00
Element x y z (fractional)
Cs 0.2354 0.2500 0.4434
Cs 0.7646 0.7500 0.5566
Np 0.2792 0.2500 0.9529
Np 0.7208 0.7500 0.0471
Al 0.2678 0.7500 0.1550
Al 0.7322 0.2500 0.8450
S 0.0347 0.7500 0.9242
S 0.0663 0.7500 0.3033
S 0.4901 0.5034 0.8141
S 0.4901 0.9966 0.8141
S 0.5099 0.0034 0.1859
S 0.5099 0.4966 0.1859
S 0.9337 0.2500 0.6967
S 0.9653 0.2500 0.0758



## BaHfIn2Re (PBE-GGA)

Data for BaHfIn2Re after structural relaxation.

Values from the calculation:
**DOS at the Fermi energy**: 1.132 states/eV per atom
**Raw total energy**: -4.831 eV/atom
**Density**: 7898 kg/m³
**Formation energy**: 545 kJ/mol of formula units
**Space group**: No. 123
**V**: 30.8 Å³/atom

Unit cell a=5.2756 b=5.2756 c=5.5271 alpha=90.00 beta=90.00 gamma=90.00
Element x y z (fractional)
Ba 0.0000 0.0000 0.0000
Hf 0.5000 0.5000 0.0000
In 0.0000 0.5000 0.5000
In 0.5000 0.0000 0.5000
Re 0.0000 0.0000 0.5000



## Ca2SeBr (PBE-GGA)

Data for Ca2SeBr after structural relaxation.

Values from the calculation:
**DOS at the Fermi energy**: 0.768 states/eV per atom
**Raw total energy**: -2.959 eV/atom
**Formation energy (no corrections)**: -2.68 eV/f.u.
**Density**: 3562 kg/m³
**Energy relative to the lowest polymorph listed for this composition**: 978 meV per atom
**Space group**: No. 216
**V**: 27.9 Å³/atom

Unit cell a=5.4015 b=5.4015 c=5.4015 alpha=60.00 beta=60.00 gamma=60.00
Element x y z (fractional)
Ca 0.0000 0.0000 0.0000
Ca 0.2500 0.2500 0.2500
Se 0.7500 0.7500 0.7500
Br 0.5000 0.5000 0.5000



## Th3Bi4 (PBE-GGA)

Data for Th3Bi4 after structural relaxation.

Values from the calculation:
**DOS at the Fermi energy**: 0.277 states/eV per atom
**Raw total energy**: -6.023 eV/atom
**Density**: 11243 kg/m³
**Formation energy**: -423 kJ/mol of formula units
**Space group**: No. 220
**V**: 32.3 Å³/atom

Unit cell a=8.3771 b=8.3771 c=8.3771 alpha=109.47 beta=109.47 gamma=109.47
Element x y z (fractional)
Th 0.1250 0.8750 0.2500
Th 0.2500 0.1250 0.8750
Th 0.3750 0.6250 0.7500
Th 0.6250 0.7500 0.3750
Th 0.7500 0.3750 0.6250
Th 0.8750 0.2500 0.1250
Bi 0.0000 0.1588 0.5000
Bi 0.0000 0.6588 0.5000
Bi 0.1588 0.5000 0.0000
Bi 0.3412 0.3412 0.3412
Bi 0.5000 0.0000 0.1588
Bi 0.5000 0.0000 0.6588
Bi 0.6588 0.5000 0.0000
Bi 0.8412 0.8412 0.8412



Which of these has the highest V? TbPm4Tm4